# AgIrO3 | Alexandria | GGA-PBE | optimized geometry
# - Volume: 13.987 Å³ per atom
# - SG: P6_3/mmc (194)
# - Formation energy without anion corrections: -0.236 eV per atom
data_AgIrO3
_chemical_formula_sum 'Ag2 Ir2 O6'
_cell_length_a 5.177
_cell_length_b 5.586
_cell_length_c 5.588
_cell_angle_alpha 120.05
_cell_angle_beta 89.98
_cell_angle_gamma 90.01
_symmetry_space_group_name_H-M 'P 1'
_symmetry_Int_Tables_number 1
_symmetry_space_group_name_Hall 'P 1'
loop_
_atom_site_label
_atom_site_type_symbol
_atom_site_fract_x
_atom_site_fract_y
_atom_site_fract_z
_atom_site_occupancy
Ag1 Ag 0.750 0.667 0.333 1
Ag2 Ag 0.250 0.333 0.667 1
Ir1 Ir 0.000 0.000 0.000 1
Ir2 Ir 0.500 0.000 0.000 1
O1 O 0.750 0.685 0.842 1
O2 O 0.250 0.843 0.685 1
O3 O 0.250 0.315 0.158 1
O4 O 0.750 0.157 0.315 1
O5 O 0.250 0.843 0.157 1
O6 O 0.750 0.157 0.843 1

# Sm2AlSe | Alexandria | GGA-PBE | optimized geometry
# - Volume: 27.076 Å³ per atom
# - SG: R3m (160)
# - Formation energy without anion corrections: -0.952 eV per atom
data_Sm2AlSe
_chemical_formula_sum 'Sm2 Al1 Se1'
_cell_length_a 3.904
_cell_length_b 3.904
_cell_length_c 8.510
_cell_angle_alpha 76.74
_cell_angle_beta 76.74
_cell_angle_gamma 60.00
_symmetry_space_group_name_H-M 'P 1'
_symmetry_Int_Tables_number 1
_symmetry_space_group_name_Hall 'P 1'
loop_
_atom_site_label
_atom_site_type_symbol
_atom_site_fract_x
_atom_site_fract_y
_atom_site_fract_z
_atom_site_occupancy
Sm1 Sm 0.086 0.086 0.741 1
Sm2 Sm 0.247 0.247 0.258 1
Al1 Al 0.667 0.667 0.998 1
Se1 Se 0.499 0.499 0.503 1

# BeReRu | Alexandria | GGA-PBE | optimized geometry
# - Volume: 15.158 Å³ per atom
# - DFT total energy: -0.595 Ry/atom
# - SG: F-43m (216)
data_BeReRu
_chemical_formula_sum 'Be1 Re1 Ru1'
_cell_length_a 4.006
_cell_length_b 4.006
_cell_length_c 4.006
_cell_angle_alpha 60.00
_cell_angle_beta 60.00
_cell_angle_gamma 60.00
_symmetry_space_group_name_H-M 'P 1'
_symmetry_Int_Tables_number 1
_symmetry_space_group_name_Hall 'P 1'
loop_
_atom_site_label
_atom_site_type_symbol
_atom_site_fract_x
_atom_site_fract_y
_atom_site_fract_z
_atom_site_occupancy
Re1 Re 0.500 0.500 0.500 1
Be1 Be 0.000 0.000 0.000 1
Ru1 Ru 0.750 0.750 0.750 1

# TlAgRu2Pt | Alexandria | GGA-PBE | optimized geometry
# - Volume: 23.687 Å³ per atom
# - DFT total energy: -0.308 Ry/atom
# - SG: P4/mmm (123)
data_TlAgRu2Pt
_chemical_formula_sum 'Tl1 Ag1 Ru2 Pt1'
_cell_length_a 4.885
_cell_length_b 4.964
_cell_length_c 4.885
_cell_angle_alpha 90.00
_cell_angle_beta 90.00
_cell_angle_gamma 90.00
_symmetry_space_group_name_H-M 'P 1'
_symmetry_Int_Tables_number 1
_symmetry_space_group_name_Hall 'P 1'
loop_
_atom_site_label
_atom_site_type_symbol
_atom_site_fract_x
_atom_site_fract_y
_atom_site_fract_z
_atom_site_occupancy
Ru1 Ru 0.000 0.000 0.500 1
Ru2 Ru 0.500 0.000 0.000 1
Tl1 Tl 0.500 0.500 0.500 1
Ag1 Ag 0.000 0.000 0.000 1
Pt1 Pt 0.000 0.500 0.000 1

# Cr2FeP | Alexandria | GGA-PBE | optimized geometry
# - Volume: 11.984 Å³ per atom
# - DFT total energy: -0.584 Ry/atom
# - SG: I-42d (122)
data_Cr2FeP
_chemical_formula_sum 'Cr4 Fe2 P2'
_cell_length_a 6.308
_cell_length_b 6.308
_cell_length_c 5.070
_cell_angle_alpha 51.53
_cell_angle_beta 51.53
_cell_angle_gamma 90.00
_symmetry_space_group_name_H-M 'P 1'
_symmetry_Int_Tables_number 1
_symmetry_space_group_name_Hall 'P 1'
loop_
_atom_site_label
_atom_site_type_symbol
_atom_site_fract_x
_atom_site_fract_y
_atom_site_fract_z
_atom_site_occupancy
Cr1 Cr 0.630 0.125 0.250 1
Cr2 Cr 0.120 0.625 0.250 1
Cr3 Cr 0.375 0.370 0.750 1
Cr4 Cr 0.875 0.880 0.750 1
Fe1 Fe 0.000 0.000 0.000 1
Fe2 Fe 0.750 0.250 0.500 1
P1 P 0.500 0.500 0.000 1
P2 P 0.250 0.750 0.500 1

# Dy2TmMgBi4 | Alexandria | GGA-PBE | optimized geometry
# - Volume: 31.148 Å³ per atom
# - DFT total energy: -0.327 Ry/atom
# - SG: P2/m (10)
data_Dy2TmMgBi4
_chemical_formula_sum 'Dy2 Tm1 Mg1 Bi4'
_cell_length_a 4.422
_cell_length_b 7.722
_cell_length_c 7.755
_cell_angle_alpha 70.22
_cell_angle_beta 90.00
_cell_angle_gamma 90.00
_symmetry_space_group_name_H-M 'P 1'
_symmetry_Int_Tables_number 1
_symmetry_space_group_name_Hall 'P 1'
loop_
_atom_site_label
_atom_site_type_symbol
_atom_site_fract_x
_atom_site_fract_y
_atom_site_fract_z
_atom_site_occupancy
Dy1 Dy 0.000 0.000 0.000 1
Dy2 Dy 0.500 0.000 0.500 1
Tm1 Tm 0.000 0.500 0.500 1
Mg1 Mg 0.500 0.500 0.000 1
Bi1 Bi 0.000 0.741 0.756 1
Bi2 Bi 0.000 0.259 0.244 1
Bi3 Bi 0.500 0.746 0.251 1
Bi4 Bi 0.500 0.254 0.749 1

# FeSeCl2 | Alexandria | GGA-PBE | optimized geometry
# - Volume: 27.327 Å³ per atom
# - SG: Immm (71)
# - Formation energy without anion corrections: -0.069 eV per atom
data_FeSeCl2
_chemical_formula_sum 'Fe1 Se1 Cl2'
_cell_length_a 7.053
_cell_length_b 7.053
_cell_length_c 7.053
_cell_angle_alpha 155.59
_cell_angle_beta 130.75
_cell_angle_gamma 55.71
_symmetry_space_group_name_H-M 'P 1'
_symmetry_Int_Tables_number 1
_symmetry_space_group_name_Hall 'P 1'
loop_
_atom_site_label
_atom_site_type_symbol
_atom_site_fract_x
_atom_site_fract_y
_atom_site_fract_z
_atom_site_occupancy
Fe1 Fe 0.250 0.750 0.500 1
Se1 Se 0.750 0.250 0.500 1
Cl1 Cl 0.107 0.107 0.000 1
Cl2 Cl 0.393 0.393 0.000 1

# PaAlGa | Alexandria | GGA-PBE | optimized geometry
# - Volume: 19.949 Å³ per atom
# - DFT total energy: -0.408 Ry/atom
# - SG: I4mm (107)
data_PaAlGa
_chemical_formula_sum 'Pa1 Al1 Ga1'
_cell_length_a 3.171
_cell_length_b 3.171
_cell_length_c 6.361
_cell_angle_alpha 104.43
_cell_angle_beta 104.43
_cell_angle_gamma 90.00
_symmetry_space_group_name_H-M 'P 1'
_symmetry_Int_Tables_number 1
_symmetry_space_group_name_Hall 'P 1'
loop_
_atom_site_label
_atom_site_type_symbol
_atom_site_fract_x
_atom_site_fract_y
_atom_site_fract_z
_atom_site_occupancy
Pa1 Pa 0.617 0.617 0.235 1
Al1 Al 0.298 0.298 0.597 1
Ga1 Ga 0.934 0.934 0.868 1

# B2C3 | Alexandria | GGA-PBE | optimized geometry
# - Volume: 6.452 Å³ per atom
# - DFT total energy: -0.579 Ry/atom
# - SG: I-4m2 (119)
data_B2C3
_chemical_formula_sum 'B4 C6'
_cell_length_a 10.628
_cell_length_b 10.628
_cell_length_c 10.628
_cell_angle_alpha 166.59
_cell_angle_beta 166.59
_cell_angle_gamma 19.00
_symmetry_space_group_name_H-M 'P 1'
_symmetry_Int_Tables_number 1
_symmetry_space_group_name_Hall 'P 1'
loop_
_atom_site_label
_atom_site_type_symbol
_atom_site_fract_x
_atom_site_fract_y
_atom_site_fract_z
_atom_site_occupancy
B1 B 0.688 0.688 0.000 1
B2 B 0.750 0.250 0.500 1
B3 B 0.500 0.500 0.000 1
B4 B 0.312 0.312 0.000 1
C1 C 0.551 0.051 0.500 1
C2 C 0.363 0.863 0.500 1
C3 C 0.094 0.094 0.000 1
C4 C 0.137 0.637 0.500 1
C5 C 0.906 0.906 0.000 1
C6 C 0.949 0.449 0.500 1

# LiCd2AgPb | Alexandria | GGA-PBE | optimized geometry
# - Volume: 33.316 Å³ per atom
# - DFT total energy: -0.119 Ry/atom
# - SG: P4/mmm (123)
data_LiCd2AgPb
_chemical_formula_sum 'Li1 Cd2 Ag1 Pb1'
_cell_length_a 5.611
_cell_length_b 5.292
_cell_length_c 5.611
_cell_angle_alpha 90.00
_cell_angle_beta 90.00
_cell_angle_gamma 90.00
_symmetry_space_group_name_H-M 'P 1'
_symmetry_Int_Tables_number 1
_symmetry_space_group_name_Hall 'P 1'
loop_
_atom_site_label
_atom_site_type_symbol
_atom_site_fract_x
_atom_site_fract_y
_atom_site_fract_z
_atom_site_occupancy
Pb1 Pb 0.000 0.000 0.000 1
Li1 Li 0.000 0.500 0.000 1
Ag1 Ag 0.500 0.500 0.500 1
Cd1 Cd 0.000 0.000 0.500 1
Cd2 Cd 0.500 0.000 0.000 1

# GaPRh | Alexandria | GGA-PBE | optimized geometry
# - Volume: 14.968 Å³ per atom
# - DFT total energy: -0.416 Ry/atom
# - SG: Ima2 (46)
data_GaPRh
_chemical_formula_sum 'Ga4 P4 Rh4'
_cell_length_a 5.509
_cell_length_b 5.712
_cell_length_c 5.708
_cell_angle_alpha 90.00
_cell_angle_beta 90.00
_cell_angle_gamma 90.00
_symmetry_space_group_name_H-M 'P 1'
_symmetry_Int_Tables_number 1
_symmetry_space_group_name_Hall 'P 1'
loop_
_atom_site_label
_atom_site_type_symbol
_atom_site_fract_x
_atom_site_fract_y
_atom_site_fract_z
_atom_site_occupancy
Ga1 Ga 0.250 0.136 0.321 1
Ga2 Ga 0.750 0.864 0.321 1
Ga3 Ga 0.750 0.636 0.821 1
Ga4 Ga 0.250 0.364 0.821 1
P1 P 0.250 0.665 0.519 1
P2 P 0.750 0.335 0.519 1
P3 P 0.750 0.165 0.019 1
P4 P 0.250 0.835 0.019 1
Rh1 Rh 0.000 0.000 0.692 1
Rh2 Rh 0.500 0.000 0.692 1
Rh3 Rh 0.500 0.500 0.192 1
Rh4 Rh 0.000 0.500 0.192 1